Record 1
# GGA-PBE TmNbTc, optimized geometry
# M_tot: 0.00 μB per formula unit
# ΔE to the lowest computed polymorph: 0.000 eV per atom
data_TmNbTc
_chemical_formula_sum 'Tm4 Nb4 Tc4'
_space_group_name_H-M_alt 'F -4 3 m'
_space_group_IT_number 216
_space_group_name_Hall 'F -4 2 3'
_cell_length_a 6.370
_cell_length_b 6.370
_cell_length_c 6.370
_cell_angle_alpha 90.00
_cell_angle_beta 90.00
_cell_angle_gamma 90.00
loop_
_atom_site_label
_atom_site_type_symbol
_atom_site_fract_x
_atom_site_fract_y
_atom_site_fract_z
Tm1 Tm 0.000 0.000 0.000
Nb1 Nb 0.250 0.250 0.750
Tc1 Tc 0.000 0.000 0.500

Record 2
# GGA-PBE NbCdCuB, optimized geometry
# M_tot: 0.92 μB per formula unit
# ΔE to the lowest computed polymorph: 0.340 eV per atom
data_NbCdCuB
_chemical_formula_sum 'Nb4 Cd4 Cu4 B4'
_space_group_name_H-M_alt 'F -4 3 m'
_space_group_IT_number 216
_space_group_name_Hall 'F -4 2 3'
_cell_length_a 6.215
_cell_length_b 6.215
_cell_length_c 6.215
_cell_angle_alpha 90.00
_cell_angle_beta 90.00
_cell_angle_gamma 90.00
loop_
_atom_site_label
_atom_site_type_symbol
_atom_site_fract_x
_atom_site_fract_y
_atom_site_fract_z
Nb1 Nb 0.000 0.000 0.000
Cd1 Cd 0.250 0.250 0.250
Cu1 Cu 0.250 0.250 0.750
B1 B 0.000 0.000 0.500

Record 3
# GGA-PBE Li2CuSn, optimized geometry
# E: -3.21 eV/atom
data_Li2CuSn
_chemical_formula_sum 'Li4 Cu2 Sn2'
_space_group_name_H-M_alt 'I -4 m 2'
_space_group_IT_number 119
_space_group_name_Hall 'I -4 -2'
_cell_length_a 4.432
_cell_length_b 4.432
_cell_length_c 6.258
_cell_angle_alpha 90.00
_cell_angle_beta 90.00
_cell_angle_gamma 90.00
loop_
_atom_site_label
_atom_site_type_symbol
_atom_site_fract_x
_atom_site_fract_y
_atom_site_fract_z
Li1 Li 0.000 0.000 0.000
Li2 Li 0.000 0.500 0.250
Cu1 Cu 0.000 0.000 0.500
Sn1 Sn 0.000 0.500 0.750

> Number 1 is which compound?

TmNbTc